Entry from the Alexandria database: Lu2ScV after structural relaxation (GGA-PBE).

Magnetization in μB per atom: 0.954
Space group: No. 123
Calculated formation energy in meV/atom: 247

abc: 5.093 5.093 3.735
angles: 90.00 90.00 90.00
Sites, in units of the cell vectors:
Lu 0.000 0.500 0.000
Lu 0.500 0.000 0.000
Sc 0.000 0.000 0.500
V 0.500 0.500 0.500